[1]
This record from Alexandria via LeMat-Bulk describes crystalline Ta3RuN at its relaxed geometry. The functional is PBE-GGA.

Values from the calculation:
DOS at the Fermi energy (states/eV/f.u.): 5.438
Volume (Å³/cell): 107.5
E_form (uncorrected) (meV/atom): 2117

Cell lengths 4.7546, 4.7546, 4.7546 Å; angles 90.00, 90.00, 90.00 degrees
With the nearest neighbours (Å) after each atom.
Space group Pm-3m (No. 221)
Inequivalent atoms, fractional coordinates:
Ta1 0.0000 0.0000 0.5000 (multiplicity 3)  2 Ru 2.38
Ru1 0.0000 0.0000 0.0000 (multiplicity 1)  6 Ta 2.38
N1 0.5000 0.5000 0.5000 (multiplicity 1)  12 Ta 3.36

[2]
This record from Alexandria via LeMat-Bulk describes crystalline Ta2RuN at its relaxed geometry. The functional is PBE-GGA.

Values from the calculation:
DOS at the Fermi energy (states/eV/f.u.): 1.521
Volume (Å³/cell): 165.4
E_form (uncorrected) (meV/atom): -594
Excess energy over the best structure of this formula in the dataset (eV per atom): 0.000

Cell lengths 3.0533, 3.0533, 20.4928 Å; angles 90.00, 90.00, 120.00 degrees
With the nearest neighbours (Å) after each atom.
Space group R3m (No. 160, hexagonal axes)
Inequivalent atoms, fractional coordinates:
Ta1 0.0000 0.0000 0.0000 (multiplicity 3)  3 N 2.16
Ta2 0.0000 0.0000 0.2088 (multiplicity 3)  3 N 2.19
Ru1 0.0000 0.0000 0.4348 (multiplicity 3)  6 Ta 2.73-2.82, 6 Ru 3.05
N1 0.0000 0.0000 0.6054 (multiplicity 3)  6 Ta 2.16-2.19

[3]
This record from Alexandria via LeMat-Bulk describes crystalline Ta2RuN at its relaxed geometry. The functional is PBE-GGA.

Values from the calculation:
DOS at the Fermi energy (states/eV/f.u.): 3.928
Volume (Å³/cell): 229.6
E_form (uncorrected) (meV/atom): 580
Excess energy over the best structure of this formula in the dataset (eV per atom): 1.173

Cell lengths 6.1233, 6.1233, 6.1233 Å; angles 90.00, 90.00, 90.00 degrees
With the nearest neighbours (Å) after each atom.
Space group Fm-3m (No. 225)
Inequivalent atoms, fractional coordinates:
Ta1 0.2500 0.2500 0.2500 (multiplicity 8)  4 Ru 2.65, 4 N 2.65
Ru1 0.0000 0.0000 0.0000 (multiplicity 4)  8 Ta 2.65
N1 0.0000 0.0000 0.5000 (multiplicity 4)  8 Ta 2.65

[4]
This record from Alexandria via LeMat-Bulk describes crystalline TaRuN3 at its relaxed geometry. The functional is PBE-GGA.

Values from the calculation:
DOS at the Fermi energy (states/eV/f.u.): 3.164
Volume (Å³/cell): 63.8
E_form (uncorrected) (meV/atom): 956

Cell lengths 3.9955, 3.9955, 3.9955 Å; angles 90.00, 90.00, 90.00 degrees
With the nearest neighbours (Å) after each atom.
Space group Pm-3m (No. 221)
Inequivalent atoms, fractional coordinates:
Ta1 0.0000 0.0000 0.0000 (multiplicity 1)  6 N 2.00
Ru1 0.5000 0.5000 0.5000 (multiplicity 1)  12 N 2.83
N1 0.0000 0.0000 0.5000 (multiplicity 3)  2 Ta 2.00

[5]
This record from Alexandria via LeMat-Bulk describes crystalline Ta3RuN at its relaxed geometry. The functional is PBE-GGA.

Values from the calculation:
DOS at the Fermi energy (states/eV/f.u.): 3.662
Volume (Å³/cell): 147.2
E_form (uncorrected) (meV/atom): -637

Cell lengths 3.0939, 8.5728, 5.7614 Å; angles 90.00, 105.57, 90.00 degrees
With the nearest neighbours (Å) after each atom.
Space group P2_1/m (No. 11)
Inequivalent atoms, fractional coordinates:
Ta1 0.0418 0.2500 0.0826 (multiplicity 2)  2 N 2.19
Ta2 0.3681 0.0473 0.7367 (multiplicity 4)  2 N 2.17
Ru1 0.2549 0.7500 0.5079 (multiplicity 2)  8 Ta 2.69-2.85
N1 0.0000 0.0000 0.0000 (multiplicity 2)  6 Ta 2.17-2.19

[6]
This record from Alexandria via LeMat-Bulk describes crystalline Ta3RuN at its relaxed geometry. The functional is PBE-GGA.

Values from the calculation:
DOS at the Fermi energy (states/eV/f.u.): 3.526
Volume (Å³/cell): 74.9
E_form (uncorrected) (meV/atom): -477

Cell lengths 4.2155, 4.2155, 4.2155 Å; angles 90.00, 90.00, 90.00 degrees
With the nearest neighbours (Å) after each atom.
Space group Pm-3m (No. 221)
Inequivalent atoms, fractional coordinates:
Ta1 0.0000 0.0000 0.5000 (multiplicity 3)  2 N 2.11
Ru1 0.5000 0.5000 0.5000 (multiplicity 1)  12 Ta 2.98
N1 0.0000 0.0000 0.0000 (multiplicity 1)  6 Ta 2.11

[7]
This record from Alexandria via LeMat-Bulk describes crystalline TaRuN3 at its relaxed geometry. The functional is PBE-GGA.

Values from the calculation:
DOS at the Fermi energy (states/eV/f.u.): 3.870
Volume (Å³/cell): 55.0
E_form (uncorrected) (meV/atom): 1095

Cell lengths 3.8023, 3.8023, 3.8023 Å; angles 90.00, 90.00, 90.00 degrees
With the nearest neighbours (Å) after each atom.
Space group Pm-3m (No. 221)
Inequivalent atoms, fractional coordinates:
Ta1 0.0000 0.0000 0.0000 (multiplicity 1)  12 N 2.69
Ru1 0.5000 0.5000 0.5000 (multiplicity 1)  6 N 1.90
N1 0.0000 0.5000 0.5000 (multiplicity 3)  2 Ru 1.90

[8]
This record from Alexandria via LeMat-Bulk describes crystalline Ta2RuN at its relaxed geometry. The functional is PBE-GGA.

Values from the calculation:
DOS at the Fermi energy (states/eV/f.u.): 1.620
Volume (Å³/cell): 275.5
E_form (uncorrected) (meV/atom): -118
Excess energy over the best structure of this formula in the dataset (eV per atom): 0.475

Cell lengths 5.4616, 5.4616, 9.2369 Å; angles 90.00, 90.00, 90.00 degrees
With the nearest neighbours (Å) after each atom.
Space group I-42d (No. 122)
Inequivalent atoms, fractional coordinates:
Ta1 0.1727 0.2500 0.1250 (multiplicity 8)  2 N 2.02
Ru1 0.0000 0.0000 0.5000 (multiplicity 4)  4 Ta 2.53
N1 0.0000 0.0000 0.0000 (multiplicity 4)  4 Ta 2.02

Question: Which value of DOS at the Fermi energy does entry 7 give?
Answer: 3.870 states/eV/f.u.